This record from Alexandria via LeMat-Bulk describes MgBeNi after structural relaxation. The functional is GGA-PBE.

Lattice parameters (Å, degrees): 5.5060 5.5060 5.5060 90.00 90.00 90.00
Atoms (fractional coordinates):
Mg: 0.0000 0.0000 0.0000
Mg: 0.0000 0.5000 0.5000
Mg: 0.5000 0.0000 0.5000
Mg: 0.5000 0.5000 0.0000
Be: 0.2500 0.2500 0.7500
Be: 0.2500 0.7500 0.2500
Be: 0.7500 0.2500 0.2500
Be: 0.7500 0.7500 0.7500
Ni: 0.0000 0.0000 0.5000
Ni: 0.0000 0.5000 0.0000
Ni: 0.5000 0.0000 0.0000
Ni: 0.5000 0.5000 0.5000

Calculated values
**Calculated volume**: 42 Å³/f.u.
**Energy above the lowest structure with this stoichiometry**: 1.40 eV/f.u.
**Energy of formation**: 229 meV per atom
**SG**: F-43m, No. 216